HgAs2H2F14 | meta-GGA SCAN | single point on PBEsol structure

abc: 4.9573 6.8129 7.7626
angles: 86.99 77.04 77.29
Last column: nearest neighbours and their distance in Å.
Sites, in units of the cell vectors:
1 Hg 0.0000 0.0000 0.0000  6 F 2.21-2.42
2 As 0.6301 0.7170 0.7379  6 F 1.71-1.83
3 As 0.3699 0.2830 0.2621  6 F 1.71-1.83
4 H 0.0376 0.3794 0.8278  1 F 1.01
5 H 0.9624 0.6206 0.1722  1 F 1.01
6 F 0.5563 0.4905 0.6974  1 As 1.72
7 F 0.4437 0.5095 0.3026  1 As 1.72
8 F 0.3392 0.8631 0.6679  1 As 1.74
9 F 0.6608 0.1369 0.3321  1 As 1.74
10 F 0.8626 0.7233 0.5389  1 As 1.71
11 F 0.1374 0.2767 0.4611  1 As 1.71
12 F 0.4048 0.7212 0.9565  1 As 1.81
13 F 0.5952 0.2788 0.0435  1 As 1.81
14 F 0.7126 0.9419 0.8051  1 As 1.80
15 F 0.2874 0.0581 0.1949  1 As 1.80
16 F 0.9168 0.5825 0.8396  1 H 1.38
17 F 0.0832 0.4175 0.1604  1 H 1.38
18 F 0.1477 0.2351 0.8199  1 H 1.01
19 F 0.8523 0.7649 0.1801  1 H 1.01

Summary:
For the total DFT energy (no corrections), the calculation gives -10.631 eV/atom. The spin magnetization comes out at 0.0 μB per cell.